This record from OQMD describes a relaxed ZrZnGa crystal. The functional is PBE.

Geometry as POSCAR:
```
ZrZnGa
1.0
4.043 1.182 1.593
0.322 3.108 3.243
1.221 -1.208 4.163
Zn Zr Ga
1 1 1
Cartesian
4.189 2.312 6.749
0.000 0.000 0.000
1.396 0.771 2.250
```

Output
Space-group type: F-43m
Spin magnetization in μB/cell: 0.0

This record from OQMD describes a relaxed LuTlAg2 crystal. The functional is PBE.

Geometry as POSCAR:
```
LuTlAg2
1.0
-3.634 -3.308 0.087
-4.614 1.440 0.890
-3.338 -0.079 -3.607
Ag Lu Tl
2 1 1
Cartesian
-8.689 -1.460 -1.973
0.000 0.000 0.000
-2.896 -0.487 -0.658
-5.792 -0.973 -1.315
```

Output
Space-group type: F-43m
Spin magnetization in μB/cell: 0.0

This record from OQMD describes a relaxed RbNaThS3 crystal. The functional is PBE.

Geometry as POSCAR:
```
RbNaThS3
1.0
-7.662 -0.500 -0.654
6.527 -3.220 2.533
-1.179 5.288 9.758
Na Rb Th S
2 2 2 6
Cartesian
-0.003 -0.703 3.572
-2.311 2.270 8.065
1.636 1.514 8.952
-3.950 0.054 2.685
-0.589 2.644 4.879
0.000 0.000 0.000
-3.417 3.603 10.035
5.616 -1.780 4.834
-2.895 1.262 5.715
-7.930 3.347 6.803
0.581 0.306 5.922
1.103 -2.035 1.601
```

Output
Space-group type: Cmcm
Spin magnetization in μB/cell: 0.0

This record from OQMD describes a relaxed Cs2AgSnBr6 crystal. The functional is PBE.

Geometry as POSCAR:
```
Cs2AgSnBr6
1.0
7.934 0.000 0.000
0.000 7.924 0.000
-7.925 0.000 11.250
Sn Br Ag Cs
2 12 2 4
Cartesian
0.005 3.962 5.625
3.967 0.000 0.000
-1.898 1.891 5.558
-0.090 3.977 8.437
3.872 7.909 2.811
-6.029 6.021 11.175
5.870 5.853 0.067
1.907 6.033 5.692
-3.863 0.015 8.439
-5.860 2.071 11.183
6.039 1.903 0.076
0.099 3.947 2.814
2.076 2.059 5.701
-2.067 5.866 5.549
-3.962 0.000 5.625
0.000 3.962 0.000
-3.969 4.007 8.435
3.978 3.917 2.816
-0.007 7.879 2.810
0.016 0.045 8.441
```

Output
Distance to the lowest polymorph of the same formula in meV per atom: 1.1
Space-group type: P2_1/c

This record from OQMD describes a relaxed PmAlSi crystal. The functional is PBE.

Geometry as POSCAR:
```
PmAlSi
1.0
-4.780 -0.360 0.508
-2.923 2.681 -2.739
-2.641 -2.078 -3.456
Si Pm Al
1 1 1
Cartesian
-7.759 0.183 -4.265
0.000 0.000 0.000
-2.586 0.061 -1.422
```

Output
Distance to the lowest polymorph of the same formula in meV per atom: 839.8
Space-group type: F-43m
Spin magnetization in μB/cell: 0.0

This record from OQMD describes a relaxed NaNbSeO crystal. The functional is PBE.

Geometry as POSCAR:
```
NaNbSeO
1.0
-3.603 -0.945 6.401
3.907 -4.675 1.509
4.134 3.853 1.232
Se Na Nb O
4 4 4 4
Cartesian
3.060 2.450 2.662
2.387 -1.026 6.687
1.378 -4.218 6.480
2.051 -0.742 2.455
1.756 1.710 7.289
4.752 -1.555 2.470
-0.314 -0.213 6.672
2.682 -3.478 1.853
1.678 -2.357 4.546
2.760 0.589 4.596
-0.322 -0.123 3.588
4.760 -1.645 5.554
0.742 1.158 5.088
-0.396 -1.880 4.831
3.696 -2.926 4.053
4.834 0.113 4.310
```

Output
Distance to the lowest polymorph of the same formula in meV per atom: 4.6
Space-group type: P2_1/c
Spin magnetization in μB/cell: 0.0

This record from OQMD describes a relaxed TbNbC2I2 crystal. The functional is PBE.

Geometry as POSCAR:
```
TbNbC2I2
1.0
3.571 -1.846 0.000
3.571 1.846 0.000
-0.681 0.000 10.815
I C Nb Tb
2 2 1 1
Cartesian
5.303 0.000 8.654
1.124 0.000 1.961
2.597 0.000 5.877
3.790 0.000 5.207
0.698 0.000 6.606
5.867 0.000 4.141
```

Output
Space-group type: Cm
Spin magnetization in μB/cell: 0.0

This record from OQMD describes a relaxed GaB4Mo3 crystal. The functional is PBE.

Geometry as POSCAR:
```
GaB4Mo3
1.0
3.094 0.000 0.000
0.000 3.178 0.000
0.000 0.000 8.394
Mo B Ga
3 4 1
Cartesian
1.547 1.589 1.643
1.547 1.589 6.751
0.000 1.589 4.197
0.000 0.000 2.358
1.547 0.000 3.286
1.547 0.000 5.108
0.000 0.000 6.036
0.000 0.000 0.000
```

Output
Space-group type: Pmmm
Spin magnetization in μB/cell: 0.0

This record from OQMD describes a relaxed LuCuAsAu crystal. The functional is PBE.

Geometry as POSCAR:
```
LuCuAsAu
1.0
-4.059 -0.747 2.287
-1.553 3.158 3.143
-3.782 2.643 -0.983
Lu Cu As Au
1 1 1 1
Cartesian
-2.348 1.264 1.112
-7.045 3.791 3.335
0.000 0.000 0.000
-4.697 2.527 2.223
```

Output
Distance to the lowest polymorph of the same formula in meV per atom: 0.0
Space-group type: F-43m
Spin magnetization in μB/cell: 0.0

This record from OQMD describes a relaxed Ac3ThSb4 crystal. The functional is PBE.

Geometry as POSCAR:
```
Ac3ThSb4
1.0
4.725 -6.668 0.000
4.725 6.668 0.000
0.000 0.000 4.711
Th Sb Ac
1 4 3
Cartesian
0.000 0.000 0.000
2.240 0.000 2.356
4.725 -3.430 0.000
4.725 3.430 0.000
7.209 0.000 2.356
2.362 -3.334 2.356
2.362 3.334 2.356
4.725 0.000 0.000
```

Output
Space-group type: Cmmm
Spin magnetization in μB/cell: 0.0

This record from OQMD describes a relaxed Zn2CuGeS4 crystal. The functional is PBE.

Geometry as POSCAR:
```
Zn2CuGeS4
1.0
-2.747 2.747 5.410
2.747 -2.747 5.410
2.747 2.747 -5.410
Zn S Ge Cu
2 4 1 1
Cartesian
0.000 2.747 2.705
2.747 0.000 2.705
1.444 1.444 4.047
1.304 1.304 -1.363
-1.444 1.444 6.774
1.444 -1.444 6.774
0.000 0.000 5.410
0.000 0.000 0.000
```

Output
Space-group type: I-42m

Calculated E_tot (eV/atom), listed in the same order as above: -4.14; -3.29; -5.25; -2.97; -4.45; -6.34; -6.51; -8.10; -4.53; -5.67; -3.89